Entry 1:
# Mg2HCl3, optimized geometry, DFT GGA-PBE
# DOS(E_F) ... 0.00 states/eV/atom
# Calculated volume ... 543.2 Å³ per cell
# Uncorrected energy ... -80.91 eV per cell
data_Mg2HCl3
_chemical_formula_sum 'Mg8 H4 Cl12'
_symmetry_space_group_name_H-M 'C 1 2/m 1'
_symmetry_Int_Tables_number 12
_symmetry_space_group_name_Hall '-C 2y'
_cell_length_a 16.056
_cell_length_b 3.599
_cell_length_c 9.758
_cell_angle_alpha 90.00
_cell_angle_beta 105.53
_cell_angle_gamma 90.00
loop_
_atom_site_label
_atom_site_type_symbol
_atom_site_fract_x
_atom_site_fract_y
_atom_site_fract_z
Mg1 Mg 0.084 0.000 0.274
Mg2 Mg 0.090 0.500 0.961
H1 H 0.039 0.500 0.124
Cl1 Cl 0.077 0.000 0.777
Cl2 Cl 0.130 0.500 0.434
Cl3 Cl 0.183 0.000 0.115

***

Entry 2:
# Rb2BaTaTc, optimized geometry, DFT GGA-PBE
# Calculated formation energy ... 2316 meV/atom
# DOS(E_F) ... 1.16 states/eV/atom
# Calculated volume ... 232.3 Å³ per cell
# Uncorrected energy ... -14.50 eV per cell
data_Rb2BaTaTc
_chemical_formula_sum 'Rb2 Ba1 Ta1 Tc1'
_symmetry_space_group_name_H-M 'P 4/m m m'
_symmetry_Int_Tables_number 123
_symmetry_space_group_name_Hall '-P 4 2'
_cell_length_a 6.739
_cell_length_b 6.739
_cell_length_c 5.114
_cell_angle_alpha 90.00
_cell_angle_beta 90.00
_cell_angle_gamma 90.00
loop_
_atom_site_label
_atom_site_type_symbol
_atom_site_fract_x
_atom_site_fract_y
_atom_site_fract_z
Rb1 Rb 0.000 0.500 0.000
Ba1 Ba 0.000 0.000 0.000
Ta1 Ta 0.500 0.500 0.500
Tc1 Tc 0.000 0.000 0.500

***

Entry 3:
# AcCuHgBi, optimized geometry, DFT GGA-PBE
# Calculated formation energy ... -264 meV/atom
# DOS(E_F) ... 0.52 states/eV/atom
# Calculated volume ... 434.6 Å³ per cell
# Uncorrected energy ... -53.77 eV per cell
data_AcCuHgBi
_chemical_formula_sum 'Ac4 Cu4 Hg4 Bi4'
_symmetry_space_group_name_H-M 'F -4 3 m'
_symmetry_Int_Tables_number 216
_symmetry_space_group_name_Hall 'F -4 2 3'
_cell_length_a 7.575
_cell_length_b 7.575
_cell_length_c 7.575
_cell_angle_alpha 90.00
_cell_angle_beta 90.00
_cell_angle_gamma 90.00
loop_
_atom_site_label
_atom_site_type_symbol
_atom_site_fract_x
_atom_site_fract_y
_atom_site_fract_z
Ac1 Ac 0.000 0.000 0.000
Cu1 Cu 0.250 0.250 0.250
Hg1 Hg 0.250 0.250 0.750
Bi1 Bi 0.000 0.000 0.500

***

Entry 4:
# GdTiGaAg, optimized geometry, DFT GGA-PBE
# Calculated formation energy ... -212 meV/atom
# DOS(E_F) ... 0.59 states/eV/atom
# Calculated volume ... 330.4 Å³ per cell
# Uncorrected energy ... -114.81 eV per cell
data_GdTiGaAg
_chemical_formula_sum 'Gd4 Ti4 Ga4 Ag4'
_symmetry_space_group_name_H-M 'F -4 3 m'
_symmetry_Int_Tables_number 216
_symmetry_space_group_name_Hall 'F -4 2 3'
_cell_length_a 6.913
_cell_length_b 6.913
_cell_length_c 6.913
_cell_angle_alpha 90.00
_cell_angle_beta 90.00
_cell_angle_gamma 90.00
loop_
_atom_site_label
_atom_site_type_symbol
_atom_site_fract_x
_atom_site_fract_y
_atom_site_fract_z
Gd1 Gd 0.000 0.000 0.000
Ti1 Ti 0.000 0.000 0.500
Ga1 Ga 0.250 0.250 0.250
Ag1 Ag 0.250 0.250 0.750